[1]
An optimized crystal structure of BeZn3In, computed with PBE-GGA.

Unit cell a=4.483 b=4.483 c=4.483 alpha=90.00 beta=90.00 gamma=90.00
Positions (direct):
Be  0.000  0.000  0.000
Zn  0.000  0.000  0.500
Zn  0.000  0.500  0.000
Zn  0.500  0.000  0.000
In  0.500  0.500  0.500

Results
DOS at the Fermi energy (states/eV per cell): 1.1
Offset from the most stable computed form (eV/atom): 0.000
ΔH_f (0 K) (eV/atom): 0.254

[2]
An optimized crystal structure of BeZn2In, computed with PBE-GGA.

Unit cell a=2.905 b=2.905 c=7.708 alpha=90.00 beta=90.00 gamma=90.00
Positions (direct):
Be  0.000  0.000  0.000
Zn  0.000  0.000  0.578
Zn  0.500  0.500  0.820
In  0.500  0.500  0.268

Results
DOS at the Fermi energy (states/eV per cell): 1.1
Offset from the most stable computed form (eV/atom): 0.047
ΔH_f (0 K) (eV/atom): 0.280

[3]
An optimized crystal structure of Be2ZnIn, computed with PBE-GGA.

Unit cell a=3.169 b=4.064 c=4.901 alpha=90.00 beta=99.86 gamma=90.00
Positions (direct):
Be  0.204  0.000  0.323
Be  0.796  0.000  0.677
Zn  0.500  0.500  0.500
In  0.000  0.500  0.000

Results
DOS at the Fermi energy (states/eV per cell): 0.7
Offset from the most stable computed form (eV/atom): 0.103
ΔH_f (0 K) (eV/atom): 0.458

[4]
An optimized crystal structure of BeZn2In, computed with PBE-GGA.

Unit cell a=3.967 b=3.967 c=4.099 alpha=90.00 beta=90.00 gamma=90.00
Positions (direct):
Be  0.000  0.000  0.000
Zn  0.000  0.500  0.500
Zn  0.500  0.000  0.500
In  0.500  0.500  0.000

Results
DOS at the Fermi energy (states/eV per cell): 1.3
Offset from the most stable computed form (eV/atom): 0.091
ΔH_f (0 K) (eV/atom): 0.323

[5]
An optimized crystal structure of Be2Zn2In, computed with PBE-GGA.

Unit cell a=6.409 b=6.409 c=6.409 alpha=147.51 beta=147.51 gamma=46.60
Positions (direct):
Be  0.250  0.750  0.500
Be  0.750  0.250  0.500
Zn  0.115  0.115  0.000
Zn  0.885  0.885  0.000
In  0.500  0.500  0.000

Results
DOS at the Fermi energy (states/eV per cell): 1.7
Offset from the most stable computed form (eV/atom): 0.006
ΔH_f (0 K) (eV/atom): 0.352

[6]
An optimized crystal structure of Be2ZnIn, computed with PBE-GGA.

Unit cell a=8.396 b=8.396 c=8.396 alpha=151.43 beta=151.43 gamma=40.84
Positions (direct):
Be  0.000  0.000  0.000
Be  0.000  0.000  0.500
Be  0.000  0.500  0.000
Be  0.500  0.000  0.500
Zn  0.125  0.875  0.250
Zn  0.875  0.125  0.750
In  0.375  0.625  0.750
In  0.625  0.375  0.250

Results
DOS at the Fermi energy (states/eV per cell): 2.2
Offset from the most stable computed form (eV/atom): 0.079
ΔH_f (0 K) (eV/atom): 0.433

[7]
An optimized crystal structure of Be2ZnIn, computed with PBE-GGA.

Unit cell a=4.271 b=4.271 c=5.609 alpha=105.60 beta=105.60 gamma=37.85
Positions (direct):
Be  0.249  0.249  0.159
Be  0.751  0.751  0.841
Zn  0.500  0.500  0.000
In  0.000  0.000  0.500

Results
DOS at the Fermi energy (states/eV per cell): 0.9
Offset from the most stable computed form (eV/atom): 0.014
ΔH_f (0 K) (eV/atom): 0.369

[8]
An optimized crystal structure of Be2ZnIn, computed with PBE-GGA.

Unit cell a=4.119 b=4.119 c=5.696 alpha=102.14 beta=102.14 gamma=39.85
Positions (direct):
Be  0.000  0.000  0.000
Be  0.729  0.729  0.094
Zn  0.470  0.470  0.325
In  0.242  0.242  0.681

Results
DOS at the Fermi energy (states/eV per cell): 0.8
Offset from the most stable computed form (eV/atom): 0.014
ΔH_f (0 K) (eV/atom): 0.369

[9]
An optimized crystal structure of BeZn2In, computed with PBE-GGA.

Unit cell a=4.539 b=4.539 c=4.539 alpha=60.00 beta=60.00 gamma=60.00
Positions (direct):
Be  0.000  0.000  0.000
Zn  0.250  0.250  0.250
Zn  0.500  0.500  0.500
In  0.750  0.750  0.750

Results
DOS at the Fermi energy (states/eV per cell): 0.6
Offset from the most stable computed form (eV/atom): 0.166
ΔH_f (0 K) (eV/atom): 0.399

[10]
An optimized crystal structure of BeZn2In, computed with PBE-GGA.

Unit cell a=3.353 b=4.124 c=5.117 alpha=90.00 beta=108.77 gamma=90.00
Positions (direct):
Be  0.000  0.000  0.000
Zn  0.119  0.500  0.783
Zn  0.881  0.500  0.217
In  0.500  0.000  0.500

Results
DOS at the Fermi energy (states/eV per cell): 0.9
Offset from the most stable computed form (eV/atom): 0.051
ΔH_f (0 K) (eV/atom): 0.283

[11]
An optimized crystal structure of Be2ZnIn, computed with PBE-GGA.

Unit cell a=2.780 b=3.599 c=5.786 alpha=90.00 beta=90.00 gamma=90.00
Positions (direct):
Be  0.000  0.000  0.192
Be  0.000  0.000  0.808
Zn  0.500  0.500  0.000
In  0.500  0.500  0.500

Results
DOS at the Fermi energy (states/eV per cell): 1.0
Offset from the most stable computed form (eV/atom): 0.088
ΔH_f (0 K) (eV/atom): 0.442

[12]
An optimized crystal structure of Be2ZnIn, computed with PBE-GGA.

Unit cell a=3.223 b=3.865 c=4.909 alpha=90.00 beta=108.75 gamma=90.00
Positions (direct):
Be  0.000  0.000  0.000
Be  0.125  0.500  0.249
Zn  0.427  0.500  0.844
In  0.722  0.000  0.456

Results
DOS at the Fermi energy (states/eV per cell): 0.9
Offset from the most stable computed form (eV/atom): 0.000
ΔH_f (0 K) (eV/atom): 0.354